(1)
# BaP2Os

BaP2Os after structural relaxation (PBE, Alexandria via LeMat-Bulk).

The structure in POSCAR format:
```
BaP2Os
1.0
4.727 -1.791 0.000
4.727 1.791 0.000
-1.426 0.000 5.588
Ba P Os
1 2 1
Direct
0.000 0.000 0.000
0.542 0.542 0.496
0.794 0.794 0.411
0.214 0.214 0.597
```

size of the total moment	0.00	μB/cell
space group	Cm, No. 8
excess energy over the best structure of this formula in the dataset	0.3936	eV per atom
formation enthalpy at 0 K	-158.5	meV/atom
crystal system	monoclinic


(2)
# BaPOs2

BaPOs2 after structural relaxation (PBE, Alexandria via LeMat-Bulk).

The structure in POSCAR format:
```
BaPOs2
1.0
-2.331 2.331 3.549
2.331 -2.331 3.549
2.331 2.331 -3.549
Ba P Os
1 1 2
Direct
0.000 0.000 0.000
0.750 0.250 0.500
0.250 0.750 0.500
0.500 0.500 0.000
```

size of the total moment	0.78	μB/cell
space group	I-4m2, No. 119
formation enthalpy at 0 K	1309.3	meV/atom
crystal system	tetragonal


(3)
# BaPOs2

BaPOs2 after structural relaxation (PBE, Alexandria via LeMat-Bulk).

The structure in POSCAR format:
```
BaPOs2
1.0
4.653 -1.593 0.000
4.653 1.593 0.000
-1.866 0.000 5.970
Ba P Os
1 1 2
Direct
0.000 0.000 0.000
0.210 0.210 0.669
0.514 0.514 0.485
0.790 0.790 0.443
```

size of the total moment	0.00	μB/cell
space group	Cm, No. 8
formation enthalpy at 0 K	194.1	meV/atom
crystal system	monoclinic


(4)
# BaP2Os

BaP2Os after structural relaxation (PBE, Alexandria via LeMat-Bulk).

The structure in POSCAR format:
```
BaP2Os
1.0
3.509 -3.513 0.000
3.509 3.513 0.000
-0.024 0.000 3.194
Ba P Os
1 2 1
Direct
0.000 0.000 0.000
0.000 0.500 0.500
0.500 0.000 0.500
0.500 0.500 0.000
```

size of the total moment	0.00	μB/cell
space group	C2/m, No. 12
excess energy over the best structure of this formula in the dataset	1.3387	eV per atom
formation enthalpy at 0 K	786.6	meV/atom
crystal system	monoclinic


(5)
# BaP2Os

BaP2Os after structural relaxation (PBE, Alexandria via LeMat-Bulk).

The structure in POSCAR format:
```
BaP2Os
1.0
3.404 0.000 0.000
0.000 4.055 0.000
0.000 0.000 6.324
Ba P Os
1 2 1
Direct
0.000 0.000 0.000
0.500 0.500 0.313
0.500 0.500 0.687
0.500 0.000 0.500
```

size of the total moment	0.00	μB/cell
space group	Pmmm, No. 47
excess energy over the best structure of this formula in the dataset	0.3416	eV per atom
formation enthalpy at 0 K	-210.5	meV/atom
crystal system	orthorhombic


(6)
# BaPOs2

BaPOs2 after structural relaxation (PBE, Alexandria via LeMat-Bulk).

The structure in POSCAR format:
```
BaPOs2
1.0
2.804 -4.716 0.000
2.804 4.716 0.000
0.000 0.000 3.001
Ba P Os
1 1 2
Direct
0.000 0.000 0.000
0.500 0.500 0.000
0.000 0.500 0.500
0.500 0.000 0.500
```

size of the total moment	0.00	μB/cell
space group	Cmmm, No. 65
formation enthalpy at 0 K	1563.0	meV/atom
crystal system	orthorhombic


(7)
# BaP2Os

BaP2Os after structural relaxation (PBE, Alexandria via LeMat-Bulk).

The structure in POSCAR format:
```
BaP2Os
1.0
-2.030 3.210 3.707
2.030 -3.210 3.707
2.030 3.210 -3.707
Ba P Os
1 2 1
Direct
0.000 0.000 0.000
0.345 0.845 0.500
0.655 0.155 0.500
0.500 0.500 0.000
```

size of the total moment	0.00	μB/cell
space group	Immm, No. 71
excess energy over the best structure of this formula in the dataset	0.2675	eV per atom
formation enthalpy at 0 K	-284.6	meV/atom
crystal system	orthorhombic


(8)
# BaPOs

BaPOs after structural relaxation (PBE, Alexandria via LeMat-Bulk).

The structure in POSCAR format:
```
BaPOs
1.0
0.000 3.303 3.303
3.303 0.000 3.303
3.303 3.303 0.000
Ba P Os
1 1 1
Direct
0.000 0.000 0.000
0.500 0.500 0.500
0.750 0.750 0.750
```

size of the total moment	0.00	μB/cell
space group	F-43m, No. 216
formation enthalpy at 0 K	827.0	meV/atom
crystal system	cubic


(9)
# BaP2Os

BaP2Os after structural relaxation (PBE, Alexandria via LeMat-Bulk).

The structure in POSCAR format:
```
BaP2Os
1.0
2.051 1.184 5.697
-2.051 1.184 5.697
0.000 -2.368 5.697
Ba P Os
1 2 1
Direct
0.000 0.000 0.000
0.205 0.205 0.205
0.795 0.795 0.795
0.500 0.500 0.500
```

size of the total moment	0.00	μB/cell
space group	R-3m, No. 166
excess energy over the best structure of this formula in the dataset	0.0000	eV per atom
formation enthalpy at 0 K	-552.1	meV/atom
crystal system	trigonal


(10)
# BaPOs

BaPOs after structural relaxation (PBE, Alexandria via LeMat-Bulk).

The structure in POSCAR format:
```
BaPOs
1.0
0.000 3.548 3.548
3.548 0.000 3.548
3.548 3.548 0.000
Ba P Os
1 1 1
Direct
0.000 0.000 0.000
0.750 0.750 0.750
0.250 0.250 0.250
```

size of the total moment	1.90	μB/cell
space group	F-43m, No. 216
formation enthalpy at 0 K	1879.6	meV/atom
crystal system	cubic


(11)
# BaPOs

BaPOs after structural relaxation (PBE, Alexandria via LeMat-Bulk).

The structure in POSCAR format:
```
BaPOs
1.0
4.094 0.000 0.000
0.000 4.094 0.000
0.000 0.000 9.849
Ba P Os
2 2 2
Direct
0.250 0.250 0.210
0.750 0.750 0.790
0.250 0.250 0.620
0.750 0.750 0.380
0.250 0.750 0.500
0.750 0.250 0.500
```

size of the total moment	0.00	μB/cell
space group	P4/nmm, No. 129
formation enthalpy at 0 K	-641.1	meV/atom
crystal system	tetragonal


(12)
# BaPOs2

BaPOs2 after structural relaxation (PBE, Alexandria via LeMat-Bulk).

The structure in POSCAR format:
```
BaPOs2
1.0
5.070 -1.501 0.000
5.070 1.501 0.000
-2.675 0.000 5.803
Ba P Os
1 1 2
Direct
0.000 0.000 0.000
0.500 0.500 0.500
0.194 0.194 0.608
0.806 0.806 0.392
```

size of the total moment	0.00	μB/cell
space group	C2/m, No. 12
formation enthalpy at 0 K	385.1	meV/atom
crystal system	monoclinic


(13)
# BaPOs2

BaPOs2 after structural relaxation (PBE, Alexandria via LeMat-Bulk).

The structure in POSCAR format:
```
BaPOs2
1.0
2.883 -5.460 0.000
2.883 5.460 0.000
-1.391 0.000 2.483
Ba P Os
1 1 2
Direct
0.000 0.000 0.000
0.500 0.500 0.000
0.000 0.500 0.500
0.500 0.000 0.500
```

size of the total moment	0.00	μB/cell
space group	C2/m, No. 12
formation enthalpy at 0 K	1227.7	meV/atom
crystal system	monoclinic


(14)
# BaPOs2

BaPOs2 after structural relaxation (PBE, Alexandria via LeMat-Bulk).

The structure in POSCAR format:
```
BaPOs2
1.0
2.866 0.000 0.000
0.000 4.984 0.000
0.000 0.000 5.539
Ba P Os
1 1 2
Direct
0.000 0.000 0.000
0.500 0.500 0.000
0.000 0.500 0.500
0.500 0.000 0.500
```

size of the total moment	0.52	μB/cell
space group	Pmmm, No. 47
formation enthalpy at 0 K	1263.8	meV/atom
crystal system	orthorhombic


(15)
# BaP2Os

BaP2Os after structural relaxation (PBE, Alexandria via LeMat-Bulk).

The structure in POSCAR format:
```
BaP2Os
1.0
4.190 0.000 0.000
0.000 1.966 6.265
0.000 -1.966 6.265
Ba P Os
1 2 1
Direct
0.000 0.000 0.000
0.000 0.704 0.704
0.500 0.367 0.367
0.500 0.772 0.772
```

size of the total moment	0.00	μB/cell
space group	Amm2, No. 38
excess energy over the best structure of this formula in the dataset	0.1351	eV per atom
formation enthalpy at 0 K	-417.0	meV/atom
crystal system	orthorhombic


(16)
# BaP2Os

BaP2Os after structural relaxation (PBE, Alexandria via LeMat-Bulk).

The structure in POSCAR format:
```
BaP2Os
1.0
0.000 3.380 3.380
3.380 0.000 3.380
3.380 3.380 0.000
Ba P Os
1 2 1
Direct
0.000 0.000 0.000
0.250 0.250 0.250
0.750 0.750 0.750
0.500 0.500 0.500
```

size of the total moment	0.00	μB/cell
space group	Fm-3m, No. 225
excess energy over the best structure of this formula in the dataset	1.0100	eV per atom
formation enthalpy at 0 K	457.9	meV/atom
crystal system	cubic


(17)
# BaP2Os

BaP2Os after structural relaxation (PBE, Alexandria via LeMat-Bulk).

The structure in POSCAR format:
```
BaP2Os
1.0
-1.666 1.806 6.945
1.666 -1.806 6.945
1.666 1.806 -6.945
Ba P Os
1 2 1
Direct
0.000 0.000 0.000
0.641 0.641 0.000
0.806 0.306 0.500
0.245 0.745 0.500
```

size of the total moment	0.00	μB/cell
space group	Imm2, No. 44
excess energy over the best structure of this formula in the dataset	0.4243	eV per atom
formation enthalpy at 0 K	-127.8	meV/atom
crystal system	orthorhombic


(18)
# BaP4Os

BaP4Os after structural relaxation (PBE, Alexandria via LeMat-Bulk).

The structure in POSCAR format:
```
BaP4Os
1.0
0.000 3.997 3.997
3.997 0.000 3.997
3.997 3.997 0.000
Ba P Os
1 4 1
Direct
0.000 0.000 0.000
0.400 0.400 0.400
0.400 0.400 0.801
0.400 0.801 0.400
0.801 0.400 0.400
0.750 0.750 0.750
```

size of the total moment	2.00	μB/cell
space group	F-43m, No. 216
formation enthalpy at 0 K	666.6	meV/atom
crystal system	cubic


(19)
# BaP2OsPd

BaP2OsPd after structural relaxation (PBE, Alexandria via LeMat-Bulk).

The structure in POSCAR format:
```
BaP2OsPd
1.0
4.654 0.000 0.000
0.000 4.654 0.000
0.000 0.000 5.749
Ba P Os Pd
1 2 1 1
Direct
0.000 0.000 0.000
0.000 0.500 0.500
0.500 0.000 0.500
0.500 0.500 0.000
0.000 0.000 0.500
```

size of the total moment	1.82	μB/cell
space group	P4/mmm, No. 123
formation enthalpy at 0 K	1122.0	meV/atom
crystal system	tetragonal


(20)
# BaP2OsRh

BaP2OsRh after structural relaxation (PBE, Alexandria via LeMat-Bulk).

The structure in POSCAR format:
```
BaP2OsRh
1.0
-2.012 2.012 6.282
2.012 -2.012 6.282
2.012 2.012 -6.282
Ba P Os Rh
1 2 1 1
Direct
0.000 0.000 0.000
0.347 0.347 0.000
0.653 0.653 0.000
0.750 0.250 0.500
0.250 0.750 0.500
```

size of the total moment	0.00	μB/cell
space group	I-4m2, No. 119
formation enthalpy at 0 K	-861.1	meV/atom
crystal system	tetragonal


(21)
# BaP2OsRu

BaP2OsRu after structural relaxation (PBE, Alexandria via LeMat-Bulk).

The structure in POSCAR format:
```
BaP2OsRu
1.0
-2.037 2.037 6.124
2.037 -2.037 6.124
2.037 2.037 -6.124
Ba P Os Ru
1 2 1 1
Direct
0.000 0.000 0.000
0.344 0.344 0.000
0.656 0.656 0.000
0.750 0.250 0.500
0.250 0.750 0.500
```

size of the total moment	0.00	μB/cell
space group	I-4m2, No. 119
formation enthalpy at 0 K	-813.3	meV/atom
crystal system	tetragonal


(22)
# BaPOs2S

BaPOs2S after structural relaxation (PBE, Alexandria via LeMat-Bulk).

The structure in POSCAR format:
```
BaPOs2S
1.0
4.418 0.000 0.000
0.000 4.418 0.000
0.000 0.000 5.424
Ba P Os S
1 1 2 1
Direct
0.000 0.000 0.000
0.500 0.500 0.000
0.000 0.500 0.500
0.500 0.000 0.500
0.500 0.500 0.500
```

size of the total moment	0.00	μB/cell
space group	P4/mmm, No. 123
crystal system	tetragonal
formation energy (no corrections)	370	kJ/mol of formula units


(23)
# BaPOsS2

BaPOsS2 after structural relaxation (PBE, Alexandria via LeMat-Bulk).

The structure in POSCAR format:
```
BaPOsS2
1.0
5.033 0.000 0.000
0.000 5.033 0.000
0.000 0.000 4.460
Ba P Os S
1 1 1 2
Direct
0.000 0.000 0.000
0.500 0.500 0.000
0.500 0.500 0.500
0.000 0.500 0.500
0.500 0.000 0.500
```

size of the total moment	1.03	μB/cell
space group	P4/mmm, No. 123
excess energy over the best structure of this formula in the dataset	0.0000	eV per atom
crystal system	tetragonal
formation energy (no corrections)	-214	kJ/mol of formula units


(24)
# BaPOsS2

BaPOsS2 after structural relaxation (PBE, Alexandria via LeMat-Bulk).

The structure in POSCAR format:
```
BaPOsS2
1.0
5.724 0.000 0.000
0.000 5.724 0.000
0.000 0.000 6.098
Ba P Os S
1 1 1 2
Direct
0.000 0.000 0.000
0.000 0.000 0.500
0.500 0.500 0.500
0.000 0.500 0.000
0.500 0.000 0.000
```

size of the total moment	3.44	μB/cell
space group	P4/mmm, No. 123
excess energy over the best structure of this formula in the dataset	2.4729	eV per atom
crystal system	tetragonal
formation energy (no corrections)	979	kJ/mol of formula units


(25)
# BaP2OsS8

BaP2OsS8 after structural relaxation (PBE, Alexandria via LeMat-Bulk).

The structure in POSCAR format:
```
BaP2OsS8
1.0
5.902 0.000 0.000
-2.951 5.111 0.000
0.000 0.000 8.723
Ba P Os S
1 2 1 8
Direct
0.000 0.000 0.000
0.333 0.667 0.721
0.667 0.333 0.279
0.000 0.000 0.500
0.012 0.680 0.341
0.320 0.332 0.341
0.332 0.012 0.659
0.333 0.667 0.952
0.667 0.333 0.048
0.668 0.988 0.341
0.680 0.668 0.659
0.988 0.320 0.659
```

size of the total moment	0.71	μB/cell
space group	P-3, No. 147
crystal system	trigonal
formation energy (no corrections)	-557	kJ/mol of formula units


(26)
# BaSiP6Os2

BaSiP6Os2 after structural relaxation (PBE, Alexandria via LeMat-Bulk).

The structure in POSCAR format:
```
BaSiP6Os2
1.0
2.607 1.505 9.491
-2.607 1.505 9.491
0.000 -3.010 9.491
Ba Si P Os
1 1 6 2
Direct
0.000 0.000 0.000
0.500 0.500 0.500
0.150 0.356 0.826
0.174 0.850 0.644
0.356 0.826 0.150
0.644 0.174 0.850
0.826 0.150 0.356
0.850 0.644 0.174
0.249 0.249 0.249
0.751 0.751 0.751
```

size of the total moment	0.00	μB/cell
space group	R-3, No. 148
crystal system	trigonal
formation energy (no corrections)	276	kJ/mol of formula units


(27)
# BaTaP2Os

BaTaP2Os after structural relaxation (PBE, Alexandria via LeMat-Bulk).

The structure in POSCAR format:
```
BaTaP2Os
1.0
-1.987 1.987 6.744
1.987 -1.987 6.744
1.987 1.987 -6.744
Ba Ta P Os
1 1 2 1
Direct
0.000 0.000 0.000
0.250 0.750 0.500
0.360 0.360 0.000
0.640 0.640 0.000
0.750 0.250 0.500
```

size of the total moment	0.00	μB/cell
space group	I-4m2, No. 119
formation enthalpy at 0 K	-682.5	meV/atom
crystal system	tetragonal


(28)
# BaTcP2Os

BaTcP2Os after structural relaxation (PBE, Alexandria via LeMat-Bulk).

The structure in POSCAR format:
```
BaTcP2Os
1.0
-2.045 2.045 6.129
2.045 -2.045 6.129
2.045 2.045 -6.129
Ba Tc P Os
1 1 2 1
Direct
0.000 0.000 0.000
0.750 0.250 0.500
0.345 0.345 0.000
0.655 0.655 0.000
0.250 0.750 0.500
```

size of the total moment	0.00	μB/cell
space group	I-4m2, No. 119
formation enthalpy at 0 K	-719.1	meV/atom
crystal system	tetragonal


(29)
# BaTiP2Os

BaTiP2Os after structural relaxation (PBE, Alexandria via LeMat-Bulk).

The structure in POSCAR format:
```
BaTiP2Os
1.0
-1.967 1.967 6.698
1.967 -1.967 6.698
1.967 1.967 -6.698
Ba Ti P Os
1 1 2 1
Direct
0.000 0.000 0.000
0.750 0.250 0.500
0.358 0.358 0.000
0.642 0.642 0.000
0.250 0.750 0.500
```

size of the total moment	0.00	μB/cell
space group	I-4m2, No. 119
formation enthalpy at 0 K	-875.8	meV/atom
crystal system	tetragonal